The following is a PBEsol calculation of crystalline InIr2N at its relaxed geometry, from Alexandria via LeMat-Bulk.

Computed properties:
spin magnetization	0.00	μB per cell
calculated total energy	-7.52	eV/atom
calculated volume	59.2	Å³/f.u.
formation energy from raw total energies	1.068	eV per formula unit
Fermi-level density of states	0.1467	states/eV/atom

Geometry as POSCAR:
```
InIr2N
1.0
-3.192 3.192 2.904
3.192 -3.192 2.904
3.192 3.192 -2.904
In Ir N
2 4 2
Direct
0.000 0.000 0.000
0.750 0.250 0.500
0.244 0.625 0.119
0.375 0.494 0.619
0.506 0.125 0.881
0.875 0.756 0.381
0.250 0.750 0.500
0.500 0.500 0.000
```